1.
Mg2CuPt | GGA-PBEsol | relaxed

Properties
The calculation puts the density of states at the Fermi level at 1.3 states/eV/cell.

a b c (Å): 5.0624 5.0624 4.6074
angles (deg): 105.52 105.52 33.24
Fractional positions:
Mg 0.0000 0.0000 0.0000
Mg 0.2114 0.2114 0.6415
Cu 0.4618 0.4618 0.4747
Pt 0.7470 0.7470 0.1608

2.
Mg2CuPt | GGA-PBEsol | relaxed

Properties
The calculation puts the density of states at the Fermi level at 1.1 states/eV/cell.

a b c (Å): 2.9180 4.5120 4.6256
angles (deg): 90.00 90.00 90.00
Fractional positions:
Mg 0.0000 0.0000 0.0000
Mg 0.0000 0.5000 0.4190
Cu 0.5000 0.0000 0.5167
Pt 0.5000 0.5000 0.9095

Number 1: formation energy from the elements -160 kJ/mol of formula units. Number 2: formation energy from the elements -173 kJ/mol of formula units.